Record 1
Entry from the Alexandria database: a relaxed NaMgH4SO6F crystal (PBE-GGA).

Geometry as POSCAR:
```
NaMgH4SO6F
1.0
5.7945 0.0000 0.0000
0.0000 7.3018 0.0000
-2.7628 0.0000 6.6758
Na Mg H S O F
2 2 8 2 12 2
Direct
0.1326 0.2500 0.1994
0.8674 0.7500 0.8006
0.5000 0.0000 0.0000
0.5000 0.5000 0.0000
0.0719 0.0718 0.6944
0.0719 0.4282 0.6944
0.1977 0.5939 0.6254
0.1977 0.9061 0.6254
0.8023 0.0939 0.3746
0.8023 0.4061 0.3746
0.9281 0.5718 0.3056
0.9281 0.9282 0.3056
0.3475 0.7500 0.3083
0.6525 0.2500 0.6917
0.1545 0.7500 0.4047
0.1715 0.5418 0.7420
0.1715 0.9582 0.7420
0.2991 0.5836 0.1778
0.2991 0.9164 0.1778
0.4005 0.2500 0.5367
0.5995 0.7500 0.4633
0.7009 0.0836 0.8222
0.7009 0.4164 0.8222
0.8285 0.0418 0.2580
0.8285 0.4582 0.2580
0.8455 0.2500 0.5953
0.3864 0.2500 0.0228
0.6136 0.7500 0.9772
```

DOS(E_F): 0.00 states/eV per cell
density: 2333 kg/m³
total DFT energy (no corrections): -5.4326 eV/atom

=====

Record 2
Entry from the Alexandria database: a relaxed AcB3Pt6 crystal (PBE-GGA).

Geometry as POSCAR:
```
AcB3Pt6
1.0
5.3391 0.0000 0.0000
0.8837 5.8110 0.0000
2.1929 1.3845 5.2759
Ac B Pt
1 3 6
Direct
0.0000 0.0000 0.0000
0.3981 0.1478 0.2022
0.6322 0.9925 0.6253
0.7371 0.5186 0.3726
0.0032 0.1960 0.4482
0.0352 0.5137 0.9918
0.4119 0.8316 0.4778
0.4733 0.4926 0.1906
0.5272 0.2802 0.8003
0.8735 0.6855 0.5870
```

DOS(E_F): 2.18 states/eV per cell
density: 14506 kg/m³
total DFT energy (no corrections): -6.4788 eV/atom

=====

Record 3
Entry from the Alexandria database: a relaxed Be2AlGe2 crystal (PBE-GGA).

Geometry as POSCAR:
```
Be2AlGe2
1.0
-1.9558 1.9558 4.9477
1.9558 -1.9558 4.9477
1.9558 1.9558 -4.9477
Be Al Ge
2 1 2
Direct
0.2500 0.7500 0.5000
0.7500 0.2500 0.5000
0.0000 0.0000 0.0000
0.3774 0.3774 0.0000
0.6226 0.6226 0.0000
```

DOS(E_F): 1.14 states/eV per cell
density: 4174 kg/m³
total DFT energy (no corrections): -3.7600 eV/atom

=====

Record 4
Entry from the Alexandria database: a relaxed K3TiCr2S6 crystal (PBE-GGA).

Geometry as POSCAR:
```
K3TiCr2S6
1.0
3.1983 -5.5336 0.0000
3.1983 5.5336 0.0000
-2.1307 0.0000 7.1362
K Ti Cr S
3 1 2 6
Direct
0.0000 0.0000 0.0000
0.3347 0.6653 0.0000
0.6653 0.3347 0.0000
0.5000 0.5000 0.5000
0.1668 0.8332 0.5000
0.8332 0.1668 0.5000
0.1020 0.4399 0.3203
0.2215 0.2215 0.6791
0.4399 0.1020 0.3203
0.5601 0.8980 0.6797
0.7785 0.7785 0.3209
0.8980 0.5601 0.6797
```

formation energy (no corrections): -1.04 eV/atom
DOS(E_F): 7.44 states/eV per cell
density: 3034 kg/m³

=====

Record 5
Entry from the Alexandria database: a relaxed RbMnFeCl5 crystal (PBE-GGA).

Geometry as POSCAR:
```
RbMnFeCl5
1.0
4.4212 -5.9209 0.0000
4.4212 5.9209 0.0000
-3.4811 0.0000 8.6049
Rb Mn Fe Cl
2 2 2 10
Direct
0.1587 0.8413 0.7500
0.8413 0.1587 0.2500
0.5000 0.5000 0.0000
0.5000 0.5000 0.5000
0.1882 0.8118 0.2500
0.8118 0.1882 0.7500
0.1168 0.2648 0.9296
0.1963 0.5957 0.3947
0.2648 0.1168 0.4296
0.4043 0.8037 0.1053
0.4353 0.5647 0.7500
0.5647 0.4353 0.2500
0.5957 0.1963 0.8947
0.7352 0.8832 0.5704
0.8037 0.4043 0.6053
0.8832 0.7352 0.0704
```

formation energy (no corrections): -1.15 eV/atom
DOS(E_F): 12.72 states/eV per cell
density: 2753 kg/m³

=====

Record 6
Entry from the Alexandria database: a relaxed LiAu crystal (PBE-GGA).

Geometry as POSCAR:
```
LiAu
1.0
3.4284 0.0000 0.0000
0.0000 3.4284 0.0000
0.0000 0.0000 5.6086
Li Au
2 2
Direct
0.2500 0.2500 0.1417
0.7500 0.7500 0.8583
0.2500 0.2500 0.6527
0.7500 0.7500 0.3473
```

DOS(E_F): 0.76 states/eV per cell
density: 10272 kg/m³
total DFT energy (no corrections): -3.0070 eV/atom

=====

Q: What is the DOS(E_F) in the first record?
A: 0.00 states/eV per cell